[1]
{"formula": "SiMoCl2", "functional": "GGA-PBE", "state": "relaxed", "cell": [[-7.737, 1.372, 0.888], [-6.433, -2.550, 3.827], [7.395, 2.648, -0.911]], "species": ["Mo", "Si", "Cl", "Cl"], "frac_coords": [[0.750, 0.250, 0.500], [0.250, 0.750, 0.500], [0.889, 0.889, 0.000], [0.611, 0.611, 0.000]], "e_form_raw_ev_per_atom": -0.1541, "space_group": "Immm", "e_above_lowest_polymorph_ev_per_atom": 0.1841}

[2]
{"formula": "CrReTe", "functional": "GGA-PBE", "state": "relaxed", "cell": [[3.147, 0.000, 0.000], [-1.573, 2.725, 0.000], [0.000, 0.000, 6.173]], "species": ["Re", "Cr", "Te"], "frac_coords": [[0.667, 0.333, 0.287], [0.000, 0.000, 0.035], [0.333, 0.667, 0.678]], "e_form_raw_ev_per_atom": 0.5962, "space_group": "P3m1", "e_above_lowest_polymorph_ev_per_atom": 0.1414}